Compound: Zr2AlAg
Source: Alexandria via LeMat-Bulk
Functional: PBEsol
Structure: relaxed

Structure (CIF):
```
data_Zr2AlAg
_chemical_formula_sum 'Zr4 Al2 Ag2'
_cell_length_a 4.274
_cell_length_b 4.274
_cell_length_c 8.263
_cell_angle_alpha 90.00
_cell_angle_beta 90.00
_cell_angle_gamma 90.00
_space_group_name_H-M_alt 'I 4/m m m'
_space_group_IT_number 139
_space_group_name_Hall '-I 4 2'
loop_
_atom_site_label
_atom_site_fract_x
_atom_site_fract_y
_atom_site_fract_z
Zr1 0.000 0.500 0.250
Al1 0.000 0.000 0.000
Ag1 0.000 0.000 0.500
```

## Properties
Magnetization = 0.00 Bohr magnetons per cell
Energy = -0.2446 hartree per atom